(1)
# BaMgAgCl5, relaxed, DFT PBE
data_BaMgAgCl5
_cell_length_a 8.323
_cell_length_b 11.961
_cell_length_c 9.310
_cell_angle_alpha 90.00
_cell_angle_beta 108.07
_cell_angle_gamma 90.00
_symmetry_space_group_name_H-M 'C 1 2/c 1'
_symmetry_Int_Tables_number 15
_symmetry_space_group_name_Hall '-C 2yc'
loop_
_atom_site_label
_atom_site_fract_x
_atom_site_fract_y
_atom_site_fract_z
Ba1 0.000 0.157 0.250
Mg1 0.000 0.500 0.000
Ag1 0.000 0.169 0.750
Cl1 0.000 0.424 0.250
Cl2 0.109 0.307 0.590
Cl3 0.190 0.050 0.964
# Energy (eV/atom): -3.6674



(2)
# Rb2UPbO6, relaxed, DFT PBE
data_Rb2UPbO6
_cell_length_a 8.664
_cell_length_b 8.664
_cell_length_c 8.664
_cell_angle_alpha 90.00
_cell_angle_beta 90.00
_cell_angle_gamma 90.00
_symmetry_space_group_name_H-M 'F m -3 m'
_symmetry_Int_Tables_number 225
_symmetry_space_group_name_Hall '-F 4 2 3'
loop_
_atom_site_label
_atom_site_fract_x
_atom_site_fract_y
_atom_site_fract_z
Rb1 0.250 0.250 0.250
U1 0.000 0.000 0.000
Pb1 0.000 0.000 0.500
O1 0.000 0.000 0.241
# Energy (eV/atom): -6.7542



(3)
# Sr2LaAs2, relaxed, DFT PBE
data_Sr2LaAs2
_cell_length_a 5.699
_cell_length_b 5.699
_cell_length_c 10.366
_cell_angle_alpha 90.00
_cell_angle_beta 90.00
_cell_angle_gamma 90.00
_symmetry_space_group_name_H-M 'I 4/m m m'
_symmetry_Int_Tables_number 139
_symmetry_space_group_name_Hall '-I 4 2'
loop_
_atom_site_label
_atom_site_fract_x
_atom_site_fract_y
_atom_site_fract_z
Sr1 0.000 0.000 0.166
La1 0.000 0.000 0.500
As1 0.000 0.500 0.250
# Energy above the most stable polymorph in this dataset (kJ/mol of formula units): 268
# ΔH_f (0 K) (eV/atom): -0.51



(4)
# Y2Ni4GeAs3, relaxed, DFT PBE
data_Y2Ni4GeAs3
_cell_length_a 4.064
_cell_length_b 4.064
_cell_length_c 9.777
_cell_angle_alpha 90.00
_cell_angle_beta 90.00
_cell_angle_gamma 90.00
_symmetry_space_group_name_H-M 'P -4 m 2'
_symmetry_Int_Tables_number 115
_symmetry_space_group_name_Hall 'P -4 -2'
loop_
_atom_site_label
_atom_site_fract_x
_atom_site_fract_y
_atom_site_fract_z
Y1 0.000 0.500 0.245
Ni1 0.000 0.000 0.000
Ni2 0.000 0.500 0.629
Ni3 0.500 0.500 0.000
Ge1 0.000 0.000 0.500
As1 0.000 0.500 0.868
As2 0.500 0.500 0.500
# ΔH_f (0 K) (eV/atom): -0.79



Spin magnetization (computed, μB/f.u.): 0.00, 0.00, 0.95, 0.00